(1)
# GaReO2F | the Alexandria database | PBEsol | optimized geometry
# DFT total energy: -6.932 eV/atom
# formation energy without anion corrections: -1.11 eV per atom
data_GaReO2F
_cell_length_a 3.8398
_cell_length_b 3.8398
_cell_length_c 4.3671
_cell_angle_alpha 90.00
_cell_angle_beta 90.00
_cell_angle_gamma 90.00
_space_group_name_H-M_alt 'P 4/m m m'
_space_group_IT_number 123
_space_group_name_Hall '-P 4 2'
loop_
_atom_site_label
_atom_site_type_symbol
_atom_site_fract_x
_atom_site_fract_y
_atom_site_fract_z
Ga1 Ga 0.0000 0.0000 0.0000
Re1 Re 0.5000 0.5000 0.5000
O1 O 0.0000 0.5000 0.5000
F1 F 0.5000 0.5000 0.0000

---

(2)
# GaReO2F | the Alexandria database | PBEsol | optimized geometry
# DFT total energy: -6.110 eV/atom
# formation energy without anion corrections: -0.29 eV per atom
data_GaReO2F
_cell_length_a 3.8689
_cell_length_b 3.8689
_cell_length_c 3.8395
_cell_angle_alpha 90.00
_cell_angle_beta 90.00
_cell_angle_gamma 90.00
_space_group_name_H-M_alt 'P 4/m m m'
_space_group_IT_number 123
_space_group_name_Hall '-P 4 2'
loop_
_atom_site_label
_atom_site_type_symbol
_atom_site_fract_x
_atom_site_fract_y
_atom_site_fract_z
Ga1 Ga 0.0000 0.0000 0.0000
Re1 Re 0.5000 0.5000 0.5000
O1 O 0.0000 0.5000 0.0000
F1 F 0.0000 0.0000 0.5000